An optimized crystal structure of Th2TaTlO8. Source: the Alexandria database, functional PBE.

Unit cell a=4.9649 b=4.9649 c=7.4150 alpha=91.07 beta=91.07 gamma=92.69
With the nearest neighbours (Å) after each atom.
Fractional coordinates of all 12 atoms:
Th 0.0313 0.0313 0.2585  6 O 2.28-2.37
Th 0.9687 0.9687 0.7415  6 O 2.28-2.37
Ta 0.5000 0.5000 0.5000  6 O 2.01-2.03
Tl 0.5000 0.5000 0.0000  2 O 2.07
O 0.1982 0.1982 0.9828  1 Tl 2.07
O 0.2087 0.2087 0.5239  1 Ta 2.01
O 0.2856 0.6571 0.2955  1 Ta 2.03
O 0.3429 0.7144 0.7045  1 Ta 2.03
O 0.6571 0.2856 0.2955  1 Ta 2.03
O 0.7144 0.3429 0.7045  1 Ta 2.03
O 0.7913 0.7913 0.4761  1 Ta 2.01
O 0.8018 0.8018 0.0172  1 Tl 2.07

Properties
The crystal system is monoclinic. The symmetry is No. 12. The calculation puts the total energy at -8.518 eV/atom.



An optimized crystal structure of TaTi3O. Source: the Alexandria database, functional PBE.

Unit cell a=5.3603 b=5.3603 c=7.3247 alpha=110.14 beta=110.14 gamma=48.56
With the nearest neighbours (Å) after each atom.
Fractional coordinates of all 10 atoms:
Ta 0.1186 0.1186 0.4335  7 Ti 2.73-3.01, 1 Ta 2.83
Ta 0.8814 0.8814 0.5665  7 Ti 2.73-3.01, 1 Ta 2.83
Ti 0.1307 0.1307 0.9393  3 O 2.13-2.20
Ti 0.3683 0.3683 0.3417  1 O 2.07
Ti 0.3981 0.3981 0.7969  2 O 2.05-2.14
Ti 0.6019 0.6019 0.2031  2 O 2.05-2.14
Ti 0.6317 0.6317 0.6583  1 O 2.07
Ti 0.8693 0.8693 0.0607  3 O 2.13-2.20
O 0.3663 0.3663 0.0581  6 Ti 2.05-2.20
O 0.6337 0.6337 0.9419  6 Ti 2.05-2.20

Properties
The crystal system is monoclinic. The symmetry is No. 12. The distance to the lowest polymorph of the same formula is 4 kJ/mol of formula units.



Number 1: density of states at the Fermi level 0.000 states/eV/cell. Number 2: density of states at the Fermi level 9.767 states/eV/cell.